Material: SrPd3Pb
Method: DFT, meta-GGA SCAN
State: PBEsol geometry

## Properties
**Calculated formation energy**: 0.80 eV per atom

```
5
Lattice="-0.696 3.240 -3.815 3.537 -2.407 -2.689 -3.542 -3.041 -1.937" Properties=species:S:1:pos:R:3 pbc="T T T"
Pb -0.350 -1.104 -4.221
Sr 0.000 0.000 0.000
Pd 1.769 -1.204 -1.345
Pd -1.771 -1.520 -0.968
Pd -0.348 1.620 -1.908
```

Material: ZrAs2PbS
Method: DFT, meta-GGA SCAN
State: PBEsol geometry

## Properties
**Uncorrected formation energy**: 1.2554 eV/atom

```
5
Lattice="5.125 0.000 0.000 0.000 5.125 0.000 0.000 0.000 5.587" Properties=species:S:1:pos:R:3 pbc="T T T"
Pb 0.000 0.000 0.000
As 0.000 2.562 0.000
As 2.562 0.000 0.000
S 2.562 2.562 2.794
Zr 0.000 0.000 2.794
```

Material: Mg3Pb5
Method: DFT, meta-GGA SCAN
State: PBEsol geometry

## Properties
**Relative energy among the computed polymorphs**: 0.000 eV/f.u.
**Calculated formation energy**: -0.09 eV per atom

```
8
Lattice="4.775 0.000 0.000 0.000 6.706 0.060 0.000 -0.607 6.679" Properties=species:S:1:pos:R:3 pbc="T T T"
Mg 0.000 3.050 3.370
Mg 2.388 4.936 1.663
Mg 2.388 1.164 5.076
Pb 0.000 0.000 0.000
Pb 0.000 -0.303 3.340
Pb 0.000 3.353 0.030
Pb 2.388 1.659 1.833
Pb 2.388 4.441 4.907
```

Material: Mg2In
Method: DFT, meta-GGA SCAN
State: PBEsol geometry

## Properties
**Calculated formation energy**: -0.12 eV per atom

```
3
Lattice="-1.887 -1.667 1.959 0.236 -2.531 -1.927 6.169 0.023 3.364" Properties=species:S:1:pos:R:3 pbc="T T T"
Mg 1.766 -0.686 1.117
Mg 2.752 -3.489 2.279
In -0.826 -2.099 0.016
```

Material: Cr2CuOs
Method: DFT, meta-GGA SCAN
State: PBEsol geometry

## Properties
**Calculated formation energy**: 0.18 eV per atom

```
4
Lattice="-0.541 -3.186 1.678 3.154 -1.238 -1.333 0.421 3.460 2.754" Properties=species:S:1:pos:R:3 pbc="T T T"
Cr 0.000 0.000 0.000
Cr 0.593 -0.969 2.302
Cu 1.306 -2.212 0.172
Os 2.440 0.005 0.796
```

Material: Ta2RhAu
Method: DFT, meta-GGA SCAN
State: PBEsol geometry

## Properties
**Calculated formation energy**: -0.38 eV per atom

```
4
Lattice="-0.275 -2.181 -1.809 -0.065 -2.572 3.111 -5.555 0.477 0.278" Properties=species:S:1:pos:R:3 pbc="T T T"
Au -0.170 -2.376 0.651
Rh -2.948 -2.138 0.790
Ta -4.391 -1.826 -1.602
Ta -1.440 0.123 0.071
```

Material: In3Pb
Method: DFT, meta-GGA SCAN
State: PBEsol geometry

## Properties
**Calculated formation energy**: 0.08 eV per atom

```
8
Lattice="-5.164 -1.387 -0.870 1.916 -3.923 -5.117 -0.370 -2.529 6.222" Properties=species:S:1:pos:R:3 pbc="T T T"
In -3.867 -3.798 3.704
In -2.897 -5.785 1.112
In -3.680 -2.517 0.552
In 0.249 -4.041 -3.469
In -0.722 -2.053 -0.877
In 0.061 -5.322 -0.318
Pb -2.719 -4.498 -1.990
Pb -0.899 -3.340 2.225
```

Material: Sr2CoSbO6
Method: DFT, meta-GGA SCAN
State: PBEsol geometry

## Properties
**Uncorrected formation energy**: -2.2649 eV/atom

```
20
Lattice="-1.782 5.142 0.649 -2.562 -0.268 -4.913 -6.385 -2.654 3.500" Properties=species:S:1:pos:R:3 pbc="T T T"
Sr -5.705 0.659 2.939
Sr -5.024 1.561 -3.704
Sr -6.097 -2.052 0.197
Sr -4.632 4.271 -0.961
Co -3.193 -1.327 1.750
Co -2.172 2.437 -2.132
Sb 0.000 0.000 0.000
Sb -5.364 1.110 -0.382
O -8.954 2.900 -1.378
O -1.775 -0.681 0.614
O -7.132 0.408 0.229
O -3.597 1.811 -0.994
O -8.253 1.283 2.551
O -2.475 0.937 -3.316
O -4.439 -0.108 0.909
O -6.290 2.328 -1.674
O -7.281 -1.235 2.410
O -3.448 3.455 -3.175
O -5.440 2.493 1.061
O -5.289 -0.274 -1.825
```

Material: LiP2RhO
Method: DFT, meta-GGA SCAN
State: PBEsol geometry

## Properties
**Relative energy among the computed polymorphs**: 0.000 eV/f.u.
**Uncorrected formation energy**: 0.1201 eV/atom

```
5
Lattice="3.638 0.000 0.000 0.000 4.785 0.000 0.000 0.000 4.785" Properties=species:S:1:pos:R:3 pbc="T T T"
P 0.000 0.000 2.393
P 0.000 2.393 0.000
Rh 0.000 0.000 0.000
O 1.819 0.000 0.000
Li 1.819 2.393 2.393
```

Material: CsSr2I5
Method: DFT, meta-GGA SCAN
State: PBEsol geometry

## Properties
**Uncorrected formation energy**: -1.8521 eV/atom

```
32
Lattice="-1.135 -0.855 8.893 -9.839 -2.119 -1.460 3.189 -13.789 -0.918" Properties=species:S:1:pos:R:3 pbc="T T T"
Cs -2.781 -10.299 -0.793
Cs -5.005 -6.464 7.308
Cs -2.980 -13.035 3.479
Cs -4.805 -3.729 3.036
Sr -7.691 -11.516 -1.800
Sr -0.094 -5.247 8.315
Sr 1.996 -11.768 3.972
Sr -9.781 -4.995 2.543
Sr -4.339 -15.352 -1.358
Sr -3.446 -1.411 7.873
Sr -1.451 -8.004 4.277
Sr -6.334 -8.759 2.238
I -1.784 -13.905 0.073
I -6.002 -2.858 6.442
I -4.247 -9.632 4.729
I -3.538 -7.131 1.786
I -6.103 -13.618 5.579
I -1.683 -3.145 0.936
I -0.294 -10.195 2.089
I -7.491 -6.568 4.426
I -5.714 -11.814 1.003
I -2.072 -4.949 5.512
I -0.623 -11.954 6.200
I -7.162 -4.809 0.316
I -5.111 -15.819 1.980
I -2.675 -0.944 4.535
I -1.546 -8.190 7.728
I -6.239 -8.574 -1.213
I -8.270 -10.830 3.964
I 0.485 -5.933 2.551
I 2.274 -12.682 0.572
I -10.059 -4.081 5.943
```

Material: LiCr4O12
Method: DFT, meta-GGA SCAN
State: PBEsol geometry

## Properties
**Uncorrected formation energy**: -1.7875 eV/atom

```
68
Lattice="8.300 0.000 0.000 0.000 8.300 0.000 -4.150 -4.150 14.146" Properties=species:S:1:pos:R:3 pbc="T T T"
Li 0.000 4.150 0.000
Li 4.150 4.150 7.073
Li 4.150 0.000 0.000
Li 0.000 0.000 7.073
Cr 5.324 -1.196 9.213
Cr 5.346 5.324 2.140
Cr -1.196 5.324 4.933
Cr 1.174 5.346 9.213
Cr 1.174 -1.196 12.006
Cr -1.174 2.954 9.213
Cr 1.196 2.976 4.933
Cr 2.954 2.976 2.140
Cr 5.346 1.174 4.933
Cr 7.105 1.174 2.140
Cr -2.976 -2.954 12.006
Cr 2.976 1.196 9.213
Cr 2.976 2.954 12.006
Cr 1.196 7.127 2.140
Cr 2.954 -1.174 4.933
Cr -1.174 1.196 12.006
O -0.487 6.573 5.611
O 0.494 -1.939 8.201
O -2.400 -2.075 10.609
O 4.644 -2.211 8.201
O 3.663 5.877 5.611
O 6.225 5.900 3.536
O 6.089 4.644 5.945
O 6.362 4.644 1.128
O 2.423 4.637 8.535
O -2.423 0.487 12.684
O 0.000 4.150 4.459
O 0.000 0.000 11.532
O 4.150 4.150 2.614
O 0.000 4.150 9.687
O 2.423 -0.487 12.684
O -2.423 3.663 8.535
O 1.939 3.657 1.128
O 2.211 3.657 5.945
O 2.075 2.400 3.536
O 4.637 2.423 5.611
O 7.814 2.423 1.462
O 3.657 2.211 8.201
O -3.657 -1.939 13.018
O 2.400 2.075 10.609
O 1.750 -2.075 10.609
O -0.494 1.939 8.201
O 0.494 -2.211 13.018
O 0.487 1.727 5.611
O 3.663 1.727 1.462
O 6.225 1.750 3.536
O 6.089 0.494 1.128
O 6.362 0.494 5.945
O -1.727 -3.663 12.684
O 1.727 0.487 8.535
O 4.150 4.150 11.532
O 0.000 0.000 2.614
O 4.150 0.000 9.687
O 4.150 0.000 4.459
O -1.727 -0.487 8.535
O 1.727 3.663 12.684
O 1.939 -0.494 5.945
O 2.211 7.807 1.128
O 2.075 6.551 3.536
O 4.637 6.573 1.462
O -0.494 2.211 13.018
O -1.750 2.075 10.609
O 3.657 1.939 13.018
O 0.487 5.877 1.462
```

Material: Ca2HgCl
Method: DFT, meta-GGA SCAN
State: PBEsol geometry

## Properties
**Relative energy among the computed polymorphs**: 2.906 eV/f.u.
**Uncorrected formation energy**: -0.3688 eV/atom

```
4
Lattice="5.439 0.000 0.000 2.719 4.710 0.000 2.719 1.570 4.441" Properties=species:S:1:pos:R:3 pbc="T T T"
Ca 0.000 0.000 0.000
Ca 8.158 4.710 3.331
Hg 2.719 1.570 1.110
Cl 5.439 3.140 2.220
```

Material: LiSc2InSn
Method: DFT, meta-GGA SCAN
State: PBEsol geometry

## Properties
**Calculated formation energy**: 0.05 eV per atom

```
5
Lattice="4.628 0.000 0.000 0.000 4.853 0.000 0.000 0.000 4.853" Properties=species:S:1:pos:R:3 pbc="T T T"
Sc 0.000 0.000 2.426
Sc 0.000 2.426 0.000
Li 0.000 0.000 0.000
Sn 2.314 2.426 2.426
In 2.314 0.000 0.000
```

Material: MoRuPt2
Method: DFT, meta-GGA SCAN
State: PBEsol geometry

## Properties
**Relative energy among the computed polymorphs**: 0.352 eV/f.u.
**Calculated formation energy**: -0.15 eV per atom

```
4
Lattice="2.722 0.000 0.000 0.000 4.787 0.004 0.000 -1.777 4.444" Properties=species:S:1:pos:R:3 pbc="T T T"
Mo 1.361 1.505 2.224
Pt 0.000 2.393 0.002
Pt 0.000 -0.889 2.222
Ru 1.361 0.000 0.000
```

Material: Sc2CoBr
Method: DFT, meta-GGA SCAN
State: PBEsol geometry

## Properties
**Relative energy among the computed polymorphs**: 0.546 eV/f.u.
**Uncorrected formation energy**: -0.2008 eV/atom

```
4
Lattice="3.100 0.000 0.000 0.000 4.707 0.000 0.000 0.000 4.707" Properties=species:S:1:pos:R:3 pbc="T T T"
Br 1.550 2.354 2.354
Co 1.550 0.000 0.000
Sc 0.000 0.000 2.354
Sc 0.000 2.354 0.000
```

Material: Dy12Co5Bi
Method: DFT, meta-GGA SCAN
State: PBEsol geometry

## Properties
**Calculated formation energy**: -0.25 eV per atom

```
18
Lattice="-7.332 0.169 -3.577 1.457 -7.356 3.219 -5.916 -1.438 5.433" Properties=species:S:1:pos:R:3 pbc="T T T"
Dy -4.383 -6.330 2.322
Dy -7.409 -2.295 2.752
Dy -8.003 -1.621 -1.029
Dy -3.789 -7.005 6.103
Dy -10.514 -3.610 3.945
Dy -1.278 -5.016 1.130
Dy -4.055 -2.787 1.964
Dy -7.736 -5.839 3.111
Dy -10.600 -1.090 1.471
Dy -1.191 -7.535 3.603
Dy -5.544 -4.043 4.910
Dy -6.248 -4.583 0.164
Co -3.662 -4.480 -0.224
Co -2.213 -2.707 -0.135
Co -5.993 -7.327 4.395
Co -5.798 -1.298 0.680
Co 0.000 0.000 0.000
Bi -2.230 -4.397 4.326
```

Material: HfInO2
Method: DFT, meta-GGA SCAN
State: PBEsol geometry

## Properties
**Uncorrected formation energy**: -2.3147 eV/atom

```
8
Lattice="-3.134 -4.492 1.991 6.309 -0.755 -0.301 2.951 0.167 5.023" Properties=species:S:1:pos:R:3 pbc="T T T"
Hf 3.018 -3.621 5.109
Hf 0.000 0.000 0.000
O 3.328 -4.102 3.252
O 4.340 -4.683 6.058
O 1.199 -3.986 5.690
O 3.203 -1.715 5.437
In 3.109 -1.459 1.603
In -0.091 -2.163 3.507
```

Material: MnSiH3
Method: DFT, meta-GGA SCAN
State: PBEsol geometry

## Properties
**DFT total energy**: -7.10 eV per atom

```
5
Lattice="-2.204 0.753 2.579 1.104 -2.787 1.757 2.449 1.934 1.529" Properties=species:S:1:pos:R:3 pbc="T T T"
H 0.552 -1.394 0.878
H 1.224 0.967 0.764
H -1.102 0.376 1.289
Si 0.000 0.000 0.000
Mn 0.674 -0.051 2.932
```

Material: LiTlIr
Method: DFT, meta-GGA SCAN
State: PBEsol geometry

## Properties
**Calculated formation energy**: 0.14 eV per atom

```
3
Lattice="2.922 0.000 0.000 0.000 4.331 0.000 0.000 -2.166 3.751" Properties=species:S:1:pos:R:3 pbc="T T T"
Ir 2.778 0.000 0.000
Li 1.897 0.000 2.501
Tl 1.169 2.166 1.250
```

Material: Y2ScHg2
Method: DFT, meta-GGA SCAN
State: PBEsol geometry

## Properties
**Calculated formation energy**: -0.64 eV per atom

```
10
Lattice="3.808 0.000 0.000 0.000 8.107 0.000 0.000 0.000 8.107" Properties=species:S:1:pos:R:3 pbc="T T T"
Y 1.904 1.362 5.416
Y 1.904 5.416 6.745
Y 1.904 6.745 2.691
Y 1.904 2.691 1.362
Sc 0.000 0.000 0.000
Sc 0.000 4.053 4.053
Hg 0.000 2.977 7.030
Hg 0.000 7.030 5.130
Hg 0.000 5.130 1.077
Hg 0.000 1.077 2.977
```

no.,density (g/cm³)
1,7.9
2,5.4
3,8.6
4,4.0
5,12.4
6,17.1
7,8.6
8,6.4
9,3.7
10,4.8
11,2.8
12,4.6
13,5.0
14,16.8
15,5.5
16,9.8
17,6.6
18,3.4
19,14.1
20,8.3